ScPt2W2: optimized geometry, GGA-PBE.

Values from the calculation:
The value obtained for the energy relative to the lowest polymorph listed for this composition is 0.00 eV/f.u. The value obtained for the energy of formation from the pure elements is -0.198 eV per atom. The calculation puts the density of states at the Fermi level at 6.59 states/eV/f.u. The value obtained for the size of the total moment is 0.0 μB per formula unit.

Lattice parameters (Å, degrees): 3.6741 3.6741 13.4588 90.00 90.00 90.00
Space group I4/mmm (No. 139)
One atom of each set of equivalent atoms:
Sc (0.0000, 0.0000, 0.0000) (multiplicity 2)
Pt (0.0000, 0.0000, 0.4040) (multiplicity 4)
W (0.0000, 0.5000, 0.2500) (multiplicity 4)